[1]
First-principles (PBE-GGA) data for crystalline Tc2MoIr at its relaxed geometry, as listed in Alexandria via LeMat-Bulk.

## Properties
As for the formation energy: -101 meV per atom. The calculation puts the offset from the most stable computed form at 0.040 eV per atom. Its crystal system is tetragonal.

Structure (POSCAR):
```
Tc2MoIr
1.0
-1.9477 1.9477 3.9122
1.9477 -1.9477 3.9122
1.9477 1.9477 -3.9122
Tc Mo Ir
2 1 1
direct
0.0000 0.0000 0.0000
0.7500 0.2500 0.5000
0.2500 0.7500 0.5000
0.5000 0.5000 0.0000
```

[2]
First-principles (PBE-GGA) data for crystalline RbPbI3 at its relaxed geometry, as listed in Alexandria via LeMat-Bulk.

## Properties
Its total energy is -10.09 eV/f.u. Its crystal system is cubic.

Structure (POSCAR):
```
RbPbI3
1.0
6.5177 0.0000 0.0000
0.0000 6.5177 0.0000
0.0000 0.0000 6.5177
Rb Pb I
1 1 3
direct
0.0000 0.0000 0.0000
0.5000 0.5000 0.5000
0.0000 0.0000 0.5000
0.0000 0.5000 0.0000
0.5000 0.0000 0.0000
```